No. 1
A plane-wave DFT calculation with PBE was carried out for a relaxed Pt2RhCl crystal.

a b c (Å): 3.7550 3.7550 4.6529
angles (deg): 90.00 90.00 90.00
Space group P4/mmm (No. 123)
Unique sites:
Pt  0.0000  0.5000  0.0000 [2 per cell]
Rh  0.0000  0.0000  0.5000 [1 per cell]
Cl  0.5000  0.5000  0.5000 [1 per cell]

Output
Energy ... -4.61 eV per atom



No. 2
A plane-wave DFT calculation with PBE was carried out for a relaxed Nd3SmSc crystal.

a b c (Å): 3.5535 8.8757 11.4765
angles (deg): 111.50 90.05 101.52
Space group P-1 (No. 2)
Unique sites:
Nd  0.0249  0.0480  0.1498 [2 per cell]
Nd  0.3284  0.6584  0.9524 [2 per cell]
Nd  0.4222  0.8474  0.5688 [2 per cell]
Sm  0.1303  0.2561  0.7232 [2 per cell]
Sc  0.2259  0.4520  0.3597 [2 per cell]

Output
Energy ... -4.99 eV per atom



No. 3
A plane-wave DFT calculation with PBE was carried out for a relaxed BaCrCo2 crystal.

a b c (Å): 4.1272 4.1272 17.2677
angles (deg): 90.00 90.00 120.00
Space group R-3m (No. 166, hexagonal axes)
Unique sites:
Ba  0.0000  0.0000  0.0000 [3 per cell]
Cr  0.0000  0.0000  0.5000 [3 per cell]
Co  0.0000  0.0000  0.1855 [6 per cell]

Output
Energy ... -6.04 eV per atom



No. 4
A plane-wave DFT calculation with PBE was carried out for a relaxed FeCoSb2 crystal.

a b c (Å): 3.2223 3.2003 6.4291
angles (deg): 90.00 90.21 90.00
Space group P2/m (No. 10)
Unique sites:
Fe  0.0000  0.0000  0.0000 [1 per cell]
Co  0.0000  0.0000  0.5000 [1 per cell]
Sb  0.5004  0.5000  0.2468 [2 per cell]

Output
Energy ... -5.64 eV per atom



No. 5
A plane-wave DFT calculation with PBE was carried out for a relaxed MgCo2Mo crystal.

a b c (Å): 2.6949 4.3643 9.2563
angles (deg): 90.00 90.00 90.00
Space group Imm2 (No. 44)
Unique sites:
Mg  0.0000  0.0000  0.0000 [2 per cell]
Co  0.0000  0.0000  0.5190 [2 per cell]
Co  0.0000  0.5000  0.2302 [2 per cell]
Mo  0.0000  0.5000  0.7874 [2 per cell]

Output
Energy ... -6.45 eV per atom



No. 6
A plane-wave DFT calculation with PBE was carried out for a relaxed MnAl4 crystal.

a b c (Å): 5.6128 5.6128 5.6128
angles (deg): 90.00 90.00 90.00
Space group Im-3m (No. 229)
Unique sites:
Mn  0.0000  0.0000  0.0000 [2 per cell]
Al  0.2500  0.2500  0.2500 [8 per cell]

Output
Energy ... -4.91 eV per atom



No. 7
A plane-wave DFT calculation with PBE was carried out for a relaxed TaAgTe2 crystal.

a b c (Å): 3.6291 3.6291 24.9698
angles (deg): 90.00 90.00 120.00
Space group R-3m (No. 166, hexagonal axes)
Unique sites:
Ta  0.0000  0.0000  0.0000 [3 per cell]
Ag  0.0000  0.0000  0.5000 [3 per cell]
Te  0.0000  0.0000  0.2575 [6 per cell]

Output
Energy ... -5.29 eV per atom



No. 8
A plane-wave DFT calculation with PBE was carried out for a relaxed MnRhBr2 crystal.

a b c (Å): 3.7552 3.7552 11.4471
angles (deg): 90.00 90.00 90.00
Space group I-4m2 (No. 119)
Unique sites:
Mn  0.0000  0.0000  0.0000 [2 per cell]
Rh  0.0000  0.5000  0.7500 [2 per cell]
Br  0.0000  0.0000  0.5000 [2 per cell]
Br  0.0000  0.5000  0.2500 [2 per cell]

Output
Energy ... -4.64 eV per atom



No. 9
A plane-wave DFT calculation with PBE was carried out for a relaxed La2GaC crystal.

a b c (Å): 7.3296 7.3296 8.0345
angles (deg): 90.00 90.00 90.00
Space group I-42d (No. 122)
Unique sites:
La  0.1743  0.2500  0.1250 [8 per cell]
Ga  0.0000  0.0000  0.5000 [4 per cell]
C  0.0000  0.0000  0.0000 [4 per cell]

Output
Energy ... -5.56 eV per atom



No. 10
A plane-wave DFT calculation with PBE was carried out for a relaxed LiMn2Fe crystal.

a b c (Å): 2.3676 3.9557 4.7573
angles (deg): 90.00 98.85 90.00
Space group Pm (No. 6)
Unique sites:
Li  0.0000  0.0000  0.0000 [1 per cell]
Mn  0.5539  0.0000  0.4907 [1 per cell]
Mn  0.7578  0.5000  0.2658 [1 per cell]
Fe  0.2597  0.5000  0.7646 [1 per cell]

Output
Energy ... -6.91 eV per atom



No. 11
A plane-wave DFT calculation with PBE was carried out for a relaxed PmTiAu2 crystal.

a b c (Å): 4.8873 4.8873 3.6038
angles (deg): 90.00 90.00 90.00
Space group P4/mmm (No. 123)
Unique sites:
Pm  0.0000  0.0000  0.0000 [1 per cell]
Ti  0.5000  0.5000  0.0000 [1 per cell]
Au  0.0000  0.5000  0.5000 [2 per cell]

Output
Energy ... -5.23 eV per atom



No. 12
A plane-wave DFT calculation with PBE was carried out for a relaxed Ac5Si2Ge crystal.

a b c (Å): 8.3003 8.3003 15.0479
angles (deg): 90.00 90.00 90.00
Space group I4/mcm (No. 140)
Unique sites:
Ac  0.0000  0.0000  0.0000 [4 per cell]
Ac  0.1735  0.3265  0.1439 [16 per cell]
Si  0.1157  0.3843  0.5000 [8 per cell]
Ge  0.0000  0.0000  0.2500 [4 per cell]

Output
Energy ... -4.99 eV per atom



No. 13
A plane-wave DFT calculation with PBE was carried out for a relaxed CdCuReSe2 crystal.

a b c (Å): 4.7558 4.7558 5.4730
angles (deg): 90.00 90.00 90.00
Space group P4/mmm (No. 123)
Unique sites:
Cd  0.0000  0.0000  0.0000 [1 per cell]
Cu  0.5000  0.5000  0.0000 [1 per cell]
Re  0.0000  0.0000  0.5000 [1 per cell]
Se  0.0000  0.5000  0.5000 [2 per cell]

Output
Energy ... -4.17 eV per atom



No. 14
A plane-wave DFT calculation with PBE was carried out for a relaxed Rb2SiHg4 crystal.

a b c (Å): 5.1812 5.1812 19.1914
angles (deg): 90.00 90.00 90.00
Space group I4/mmm (No. 139)
Unique sites:
Rb  0.0000  0.0000  0.1523 [4 per cell]
Si  0.0000  0.0000  0.5000 [2 per cell]
Hg  0.0000  0.0000  0.3447 [4 per cell]
Hg  0.0000  0.5000  0.0000 [4 per cell]

Output
Energy ... -1.25 eV per atom



No. 15
A plane-wave DFT calculation with PBE was carried out for a relaxed MgIrF crystal.

a b c (Å): 2.7079 13.3840 4.6560
angles (deg): 90.00 90.00 90.00
Space group Cmcm (No. 63)
Unique sites:
Mg  0.0000  0.0827  0.2500 [4 per cell]
Ir  0.0000  0.2461  0.7500 [4 per cell]
F  0.0000  0.5000  0.0000 [4 per cell]

Output
Energy ... -5.69 eV per atom



No. 16
A plane-wave DFT calculation with PBE was carried out for a relaxed Ta3RhSe crystal.

a b c (Å): 4.8288 4.8288 4.8288
angles (deg): 90.00 90.00 90.00
Space group Pm-3m (No. 221)
Unique sites:
Ta  0.0000  0.0000  0.5000 [3 per cell]
Rh  0.0000  0.0000  0.0000 [1 per cell]
Se  0.5000  0.5000  0.5000 [1 per cell]

Output
Energy ... -8.16 eV per atom



No. 17
A plane-wave DFT calculation with PBE was carried out for a relaxed SmScCo crystal.

a b c (Å): 6.4883 6.4883 6.4883
angles (deg): 90.00 90.00 90.00
Space group F-43m (No. 216)
Unique sites:
Sm  0.0000  0.0000  0.0000 [4 per cell]
Sc  0.0000  0.0000  0.5000 [4 per cell]
Co  0.2500  0.2500  0.2500 [4 per cell]

Output
Energy ... -6.07 eV per atom



No. 18
A plane-wave DFT calculation with PBE was carried out for a relaxed LiPmPd2 crystal.

a b c (Å): 4.3565 4.3565 14.3183
angles (deg): 90.00 90.00 120.00
Space group R-3m (No. 166, hexagonal axes)
Unique sites:
Li  0.0000  0.0000  0.0000 [3 per cell]
Pm  0.0000  0.0000  0.5000 [3 per cell]
Pd  0.0000  0.0000  0.2841 [6 per cell]

Output
Energy ... -4.89 eV per atom



No. 19
A plane-wave DFT calculation with PBE was carried out for a relaxed MgZrSCl2 crystal.

a b c (Å): 5.1003 5.1003 5.0011
angles (deg): 90.00 90.00 90.00
Space group P4/mmm (No. 123)
Unique sites:
Mg  0.0000  0.0000  0.0000 [1 per cell]
Zr  0.5000  0.5000  0.5000 [1 per cell]
S  0.5000  0.5000  0.0000 [1 per cell]
Cl  0.0000  0.5000  0.5000 [2 per cell]

Output
Energy ... -4.54 eV per atom



No. 20
A plane-wave DFT calculation with PBE was carried out for a relaxed HfSnOsPd2 crystal.

a b c (Å): 4.8257 4.8257 4.9498
angles (deg): 90.00 90.00 90.00
Space group P4/mmm (No. 123)
Unique sites:
Hf  0.0000  0.0000  0.0000 [1 per cell]
Sn  0.5000  0.5000  0.0000 [1 per cell]
Os  0.5000  0.5000  0.5000 [1 per cell]
Pd  0.0000  0.5000  0.5000 [2 per cell]

Output
Energy ... -6.11 eV per atom